# 1
SrBi3Pd5: relaxed, PBE-GGA.

Lattice parameters (Å, degrees): 4.7277 15.4389 11.2975 90.00 90.00 90.00
With the nearest neighbours (Å) after each atom.
Space group Cmcm (No. 63)
One atom of each set of equivalent atoms:
1 Sr 0.0000 0.2423 0.2500 [4 per cell]  8 Pd 3.36-3.53, 6 Bi 3.45-3.56
2 Bi 0.0000 0.1351 0.5836 [8 per cell]  5 Pd 2.73-2.82
3 Bi 0.0000 0.4203 0.7500 [4 per cell]  8 Pd 2.82-3.08
4 Pd 0.0000 0.0444 0.1235 [8 per cell]  4 Bi 2.73-2.82, 3 Pd 2.83-2.86
5 Pd 0.0000 0.3140 0.5311 [8 per cell]  4 Bi 2.81-2.97, 1 Pd 2.89
6 Pd 0.0000 0.5000 0.0000 [4 per cell]  6 Pd 2.83-2.89, 2 Bi 3.08

Calculated values
* ΔH_f (0 K): -0.41 eV/atom

***

# 2
Mn2Ni: relaxed, PBE-GGA.

Lattice parameters (Å, degrees): 9.2715 2.5082 5.9778 90.00 104.77 90.00
With the nearest neighbours (Å) after each atom.
Space group C2/m (No. 12)
One atom of each set of equivalent atoms:
1 Mn 0.0317 0.0000 0.2927 [4 per cell]  7 Mn 2.46-2.69, 5 Ni 2.50-2.54
2 Mn 0.1407 0.5000 0.0212 [4 per cell]  9 Mn 2.45-2.56, 3 Ni 2.47-2.57
3 Ni 0.1902 0.5000 0.6347 [4 per cell]  8 Mn 2.47-2.57, 4 Ni 2.51

Calculated values
* ΔH_f (0 K): 0.03 eV/atom

***

# 3
Ca2Mg2Ga5Pd: relaxed, PBE-GGA.

Lattice parameters (Å, degrees): 11.0445 11.0445 3.4723 90.00 90.00 90.00
With the nearest neighbours (Å) after each atom.
Space group P4/mbm (No. 127)
One atom of each set of equivalent atoms:
1 Ca 0.1669 0.3331 0.0000 [4 per cell]  3 Mg 3.09-3.36, 6 Ga 3.13-3.42
2 Mg 0.1352 0.6352 0.0000 [4 per cell]  6 Ga 2.73-2.86
3 Ga 0.0000 0.5000 0.5000 [2 per cell]  4 Mg 2.73
4 Ga 0.0663 0.8293 0.5000 [8 per cell]  2 Pd 2.67, 2 Ga 2.86, 2 Mg 2.86
5 Pd 0.0000 0.0000 0.0000 [2 per cell]  8 Ga 2.67

Calculated values
* ΔH_f (0 K): -0.29 eV/atom

***

# 4
Er2ZrUC4: relaxed, PBE-GGA.

Lattice parameters (Å, degrees): 6.0176 3.5021 6.0303 90.00 109.53 90.00
With the nearest neighbours (Å) after each atom.
Space group P2/m (No. 10)
One atom of each set of equivalent atoms:
1 Er 0.0000 0.0000 0.0000 [1 per cell]  6 C 2.53-2.54
2 Er 0.0000 0.5000 0.5000 [1 per cell]  6 C 2.57
3 Zr 0.5000 0.0000 0.5000 [1 per cell]  6 C 2.38-2.41
4 U 0.5000 0.5000 0.0000 [1 per cell]  6 C 2.35-2.37
5 C 0.2729 0.5000 0.2503 [2 per cell]  1 U 2.35, 2 Zr 2.41, 3 Er 2.53-2.57
6 C 0.2794 0.0000 0.7631 [2 per cell]  2 U 2.37, 1 Zr 2.38, 3 Er 2.54-2.57

Calculated values
* ΔH_f (0 K): -0.44 eV/atom

***

# 5
Pm2PrF11: relaxed, PBE-GGA.

Lattice parameters (Å, degrees): 8.6822 10.5299 11.7848 90.00 90.00 90.00
With the nearest neighbours (Å) after each atom.
Space group Ibam (No. 72)
One atom of each set of equivalent atoms:
1 Pm 0.1601 0.1898 0.0000 [8 per cell]  7 F 2.27-2.43
2 Pr 0.0000 0.5000 0.2500 [4 per cell]  8 F 2.39-2.40
3 F 0.0000 0.0000 0.0000 [4 per cell]  2 F 2.21, 2 Pm 2.43
4 F 0.1042 0.3284 0.1417 [16 per cell]  1 Pm 2.27, 1 Pr 2.39
5 F 0.1081 0.1905 0.5000 [8 per cell]  1 F 2.21, 2 Pm 2.33-2.37
6 F 0.2051 0.4228 0.3683 [16 per cell]  1 Pm 2.28, 1 Pr 2.40

Calculated values
* ΔE_f (raw): -3402.5 meV/atom

***

# 6
NdSm2Er8: relaxed, PBE-GGA.

Lattice parameters (Å, degrees): 5.4707 8.0619 16.0095 90.00 90.00 90.00
With the nearest neighbours (Å) after each atom.
Space group Immm (No. 71)
One atom of each set of equivalent atoms:
1 Nd 0.0000 0.0000 0.0000 [2 per cell]  8 Er 3.25-3.62
2 Sm 0.0000 0.0000 0.3000 [4 per cell]  10 Er 3.35-3.61
3 Er 0.0000 0.2060 0.5000 [4 per cell]  7 Er 3.32-3.53, 2 Sm 3.61, 2 Nd 3.62
4 Er 0.0000 0.2925 0.1396 [8 per cell]  1 Nd 3.25, 6 Er 3.35-3.63, 3 Sm 3.35-3.49
5 Er 0.0000 0.5000 0.3385 [4 per cell]  8 Er 3.51-3.63, 2 Sm 3.52, 2 Nd 3.76

Calculated values
* excess energy over the best structure of this formula in the dataset: 0.091 eV per atom
* ΔH_f (0 K): 0.11 eV/atom

***

# 7
Zn2CdSi2Pd5: relaxed, PBE-GGA.

Lattice parameters (Å, degrees): 9.4704 9.4704 3.5547 90.00 90.00 90.00
With the nearest neighbours (Å) after each atom.
Space group P4/mbm (No. 127)
One atom of each set of equivalent atoms:
1 Zn 0.1685 0.3315 0.0000 [4 per cell]  3 Si 2.69-2.85, 6 Pd 2.87-2.90
2 Cd 0.0000 0.0000 0.0000 [2 per cell]  8 Pd 2.75
3 Si 0.1303 0.6303 0.0000 [4 per cell]  6 Pd 2.41-2.49, 1 Zn 2.69
4 Pd 0.0000 0.5000 0.5000 [2 per cell]  4 Si 2.49
5 Pd 0.0917 0.7982 0.5000 [8 per cell]  2 Si 2.41

Calculated values
* ΔE_f (raw): -360.0 meV/atom

***

# 8
Te2Cl: relaxed, PBE-GGA.

Lattice parameters (Å, degrees): 15.1117 4.0794 8.5102 90.00 123.08 90.00
With the nearest neighbours (Å) after each atom.
Space group Cm (No. 8)
One atom of each set of equivalent atoms:
1 Te 0.0000 0.0000 0.0000 [2 per cell]  2 Te 2.95
2 Te 0.0025 0.5000 0.7513 [2 per cell]  3 Cl 2.53-2.80
3 Te 0.2356 0.5000 0.0926 [2 per cell]  3 Te 2.86-3.11
4 Te 0.3202 0.0000 0.9752 [2 per cell]  2 Te 2.86
5 Cl 0.0324 0.0000 0.5590 [2 per cell]  2 Te 2.80
6 Cl 0.3051 0.0000 0.5131 [2 per cell]  1 Te 2.53

Calculated values
* ΔE_f (raw): -178.6 meV/atom
* excess energy over the best structure of this formula in the dataset: 0.067 eV per atom

***

# 9
Pm6Sn5Bi: relaxed, PBE-GGA.

Lattice parameters (Å, degrees): 7.7967 13.4446 7.8587 90.00 109.14 90.00
With the nearest neighbours (Å) after each atom.
Space group C2/m (No. 12)
One atom of each set of equivalent atoms:
1 Pm 0.2488 0.0000 0.2466 [4 per cell]  1 Bi 3.18, 5 Sn 3.18-3.20
2 Pm 0.2498 0.1668 0.7497 [8 per cell]  5 Sn 3.19-3.21, 1 Bi 3.19
3 Sn 0.0000 0.0000 0.5000 [2 per cell]  6 Pm 3.19-3.20
4 Sn 0.0000 0.1669 0.0000 [4 per cell]  6 Pm 3.18-3.19
5 Sn 0.0000 0.3357 0.5000 [4 per cell]  6 Pm 3.18-3.21
6 Bi 0.0000 0.5000 0.0000 [2 per cell]  6 Pm 3.18-3.19

Calculated values
* ΔH_f (0 K): -0.62 eV/atom

***

# 10
NdGa5Pt7: relaxed, PBE-GGA.

Lattice parameters (Å, degrees): 5.3929 9.1091 8.8057 90.00 90.00 90.00
With the nearest neighbours (Å) after each atom.
Space group Imm2 (No. 44)
One atom of each set of equivalent atoms:
1 Nd 0.0000 0.0000 0.0000 [2 per cell]  4 Pt 2.94-3.11
2 Ga 0.0000 0.5000 0.2678 [2 per cell]  6 Pt 2.62-2.84, 4 Ga 2.74
3 Ga 0.2448 0.2585 0.7370 [8 per cell]  7 Pt 2.54-2.82, 3 Ga 2.64-2.75
4 Pt 0.0000 0.0000 0.3420 [2 per cell]  4 Ga 2.75, 5 Pt 2.86-2.91, 1 Nd 3.01
5 Pt 0.0000 0.0000 0.6664 [2 per cell]  6 Ga 2.77-2.84, 1 Pt 2.86, 1 Nd 2.94
6 Pt 0.0000 0.2923 0.4743 [4 per cell]  5 Ga 2.54-2.68
7 Pt 0.0000 0.3411 0.0071 [4 per cell]  5 Ga 2.61-2.82, 2 Pt 2.89-2.91
8 Pt 0.0000 0.5000 0.7201 [2 per cell]  4 Ga 2.57, 2 Pt 2.88

Calculated values
* ΔH_f (0 K): -0.64 eV/atom

***

# 11
LaPr3YHo: relaxed, PBE-GGA.

Lattice parameters (Å, degrees): 8.1615 5.2108 10.4030 90.00 108.65 90.00
With the nearest neighbours (Å) after each atom.
Space group P2_1/m (No. 11)
One atom of each set of equivalent atoms:
1 La 0.1713 0.2500 0.2931 [2 per cell]  3 Ho 3.63-3.64, 1 Y 3.65, 8 Pr 3.68-3.71
2 Pr 0.1688 0.2500 0.7914 [2 per cell]  1 Ho 3.64, 3 Y 3.65-3.66, 6 Pr 3.68-3.70, 2 La 3.70
3 Pr 0.1698 0.7500 0.0423 [2 per cell]  3 Y 3.64-3.66, 1 Ho 3.64, 3 La 3.68-3.70, 5 Pr 3.69-3.70
4 Pr 0.1714 0.7500 0.5425 [2 per cell]  1 Y 3.63, 3 Ho 3.64, 3 La 3.68-3.71, 5 Pr 3.68-3.72
5 Y 0.4985 0.7500 0.8747 [2 per cell]  7 Pr 3.63-3.66, 1 La 3.65, 2 Ho 3.68, 2 Y 3.68
6 Ho 0.5000 0.2500 0.6253 [2 per cell]  3 La 3.63-3.64, 5 Pr 3.64, 2 Y 3.68, 2 Ho 3.69

Calculated values
* ΔH_f (0 K): 0.02 eV/atom

***

# 12
ErAl2B6: relaxed, PBE-GGA.

Lattice parameters (Å, degrees): 5.3656 5.3656 3.5132 90.00 90.00 120.00
With the nearest neighbours (Å) after each atom.
Space group P6/mmm (No. 191)
One atom of each set of equivalent atoms:
1 Er 0.0000 0.0000 0.0000 [1 per cell]  12 B 2.53
2 Al 0.3333 0.6667 0.0000 [2 per cell]  12 B 2.50
3 B 0.0000 0.3386 0.5000 [6 per cell]  3 B 1.73-1.82

Calculated values
* ΔH_f (0 K): -0.20 eV/atom

***

# 13
Ac2Zn2Ag5: relaxed, PBE-GGA.

Lattice parameters (Å, degrees): 4.7132 4.7132 9.5633 90.00 90.00 90.00
With the nearest neighbours (Å) after each atom.
Space group P4/mmm (No. 123)
One atom of each set of equivalent atoms:
1 Ac 0.0000 0.0000 0.0000 [1 per cell]  8 Ag 3.46, 8 Zn 3.57
2 Ac 0.0000 0.0000 0.5000 [1 per cell]  12 Ag 3.26-3.33
3 Zn 0.5000 0.5000 0.1347 [2 per cell]  1 Zn 2.58, 4 Ag 2.67
4 Ag 0.0000 0.5000 0.2650 [4 per cell]  2 Zn 2.67
5 Ag 0.5000 0.5000 0.5000 [1 per cell]  8 Ag 3.26, 4 Ac 3.33, 2 Zn 3.49

Calculated values
* ΔH_f (0 K): -0.16 eV/atom

***

# 14
Ac2CoNi3Ge4: relaxed, PBE-GGA.

Lattice parameters (Å, degrees): 4.2716 4.2716 10.0437 90.00 90.00 90.00
With the nearest neighbours (Å) after each atom.
Space group P-4m2 (No. 115)
One atom of each set of equivalent atoms:
1 Ac 0.0000 0.5000 0.2495 [2 per cell]  6 Ni 3.28-3.29, 8 Ge 3.29-3.30, 2 Co 3.29
2 Co 0.5000 0.5000 0.0000 [1 per cell]  4 Ge 2.45
3 Ni 0.0000 0.0000 0.0000 [1 per cell]  4 Ge 2.45
4 Ni 0.0000 0.5000 0.6244 [2 per cell]  5 Ge 2.47-2.56
5 Ge 0.0000 0.0000 0.5000 [1 per cell]  4 Ni 2.47
6 Ge 0.0000 0.5000 0.8795 [2 per cell]  2 Co 2.45, 3 Ni 2.45-2.56
7 Ge 0.5000 0.5000 0.5000 [1 per cell]  4 Ni 2.47

Calculated values
* ΔH_f (0 K): -0.58 eV/atom

***

# 15
ErMgPdAu: relaxed, PBE-GGA.

Lattice parameters (Å, degrees): 6.8042 6.8042 6.8042 90.00 90.00 90.00
With the nearest neighbours (Å) after each atom.
Space group F-43m (No. 216)
One atom of each set of equivalent atoms:
1 Er 0.0000 0.0000 0.0000 [4 per cell]  4 Pd 2.95, 4 Au 2.95
2 Mg 0.0000 0.0000 0.5000 [4 per cell]  4 Au 2.95, 4 Pd 2.95
3 Pd 0.2500 0.2500 0.7500 [4 per cell]  4 Mg 2.95, 4 Er 2.95
4 Au 0.2500 0.2500 0.2500 [4 per cell]  4 Er 2.95, 4 Mg 2.95

Calculated values
* ΔH_f (0 K): -0.80 eV/atom

***

# 16
CaGdAu: relaxed, PBE-GGA.

Lattice parameters (Å, degrees): 7.1420 7.1420 7.1420 90.00 90.00 90.00
With the nearest neighbours (Å) after each atom.
Space group F-43m (No. 216)
One atom of each set of equivalent atoms:
1 Ca 0.0000 0.0000 0.0000 [4 per cell]  4 Au 3.09
2 Gd 0.0000 0.0000 0.5000 [4 per cell]  4 Au 3.09
3 Au 0.2500 0.2500 0.7500 [4 per cell]  4 Gd 3.09, 4 Ca 3.09

Calculated values
* excess energy over the best structure of this formula in the dataset: 0.060 eV per atom
* ΔH_f (0 K): -0.46 eV/atom

***

# 17
ScBe2Cu2: relaxed, PBE-GGA.

Lattice parameters (Å, degrees): 6.9411 6.9411 2.5567 90.00 90.00 90.00
With the nearest neighbours (Å) after each atom.
Space group P4/mbm (No. 127)
One atom of each set of equivalent atoms:
1 Sc 0.0000 0.0000 0.0000 [2 per cell]  2 Sc 2.56, 4 Cu 2.73
2 Be 0.1635 0.3365 0.5000 [4 per cell]  6 Cu 2.40-2.41, 2 Be 2.56
3 Cu 0.1293 0.6293 0.0000 [4 per cell]  6 Be 2.40-2.41, 3 Cu 2.54-2.56

Calculated values
* excess energy over the best structure of this formula in the dataset: 0.051 eV per atom
* ΔH_f (0 K): -0.02 eV/atom

***

# 18
ZrInAs2: relaxed, PBE-GGA.

Lattice parameters (Å, degrees): 3.1579 3.1579 31.9052 90.00 90.00 120.00
With the nearest neighbours (Å) after each atom.
Space group R3m (No. 160, hexagonal axes)
One atom of each set of equivalent atoms:
1 Zr 0.0000 0.0000 0.0000 [3 per cell]  3 As 2.91, 6 Zr 3.16, 3 In 3.16
2 In 0.0000 0.0000 0.2525 [3 per cell]  3 As 2.94, 6 In 3.16, 3 Zr 3.16
3 As 0.0000 0.0000 0.5137 [3 per cell]  3 In 2.94, 6 As 3.16
4 As 0.0000 0.0000 0.7378 [3 per cell]  3 Zr 2.91, 6 As 3.16

Calculated values
* ΔH_f (0 K): 0.06 eV/atom

***

# 19
SiPt3: relaxed, PBE-GGA.

Lattice parameters (Å, degrees): 6.2468 6.2468 6.2468 90.00 90.00 90.00
With the nearest neighbours (Å) after each atom.
Space group Fm-3m (No. 225)
One atom of each set of equivalent atoms:
1 Si 0.0000 0.0000 0.0000 [4 per cell]  8 Pt 2.70
2 Pt 0.0000 0.0000 0.5000 [4 per cell]  8 Pt 2.70
3 Pt 0.2500 0.2500 0.2500 [8 per cell]  4 Pt 2.70, 4 Si 2.70

Calculated values
* ΔE_f (raw): -154.2 meV/atom

***

# 20
HfReAs3: relaxed, PBE-GGA.

Lattice parameters (Å, degrees): 4.8179 4.8179 4.8179 90.00 90.00 90.00
With the nearest neighbours (Å) after each atom.
Space group Pm-3m (No. 221)
One atom of each set of equivalent atoms:
1 Hf 0.0000 0.0000 0.0000 [1 per cell]  12 As 3.41
2 Re 0.5000 0.5000 0.5000 [1 per cell]  6 As 2.41
3 As 0.0000 0.5000 0.5000 [3 per cell]  2 Re 2.41

Calculated values
* excess energy over the best structure of this formula in the dataset: 0.000 eV per atom
* ΔH_f (0 K): 0.76 eV/atom

***

# 21
Tl14HgBi: relaxed, PBE-GGA.

Lattice parameters (Å, degrees): 6.8364 6.8364 10.5161 90.00 90.00 90.00
With the nearest neighbours (Å) after each atom.
Space group P4/mmm (No. 123)
One atom of each set of equivalent atoms:
1 Tl 0.0000 0.0000 0.0000 [1 per cell]  12 Tl 3.42-3.59
2 Tl 0.0000 0.5000 0.0000 [2 per cell]  12 Tl 3.42-3.60
3 Tl 0.0000 0.5000 0.5000 [2 per cell]  2 Hg 3.42, 2 Bi 3.42, 8 Tl 3.55
4 Tl 0.2492 0.2492 0.2531 [8 per cell]  10 Tl 3.41-3.60, 1 Bi 3.54, 1 Hg 3.55
5 Tl 0.5000 0.5000 0.0000 [1 per cell]  12 Tl 3.42-3.60
6 Hg 0.5000 0.5000 0.5000 [1 per cell]  12 Tl 3.42-3.55
7 Bi 0.0000 0.0000 0.5000 [1 per cell]  12 Tl 3.42-3.54

Calculated values
* ΔH_f (0 K): 0.00 eV/atom

***

Calculated volume, record by record: 206; 34; 212; 120; 269; 353; 159; 110; 389; 216; 210; 88; 212; 183; 79; 91; 62; 92; 61; 112; 491 Å³/f.u.
Density, record by record: 10.042; 8.330; 4.578; 9.868; 3.945; 8.386; 8.662; 4.392; 7.137; 14.268; 6.461; 5.424; 8.787; 8.876; 10.436; 7.189; 5.125; 6.434; 16.713; 8.752; 11.051 g cm⁻³